{
  "formula": "SrMgSiO4",
  "functional": "PBE",
  "state": "relaxed",
  "lattice_angstrom": [[5.6765, 0.0000, 0.0000], [2.8383, 4.9160, 0.0000], [2.8383, 1.6387, 4.6349]],
  "species": ["O", "O", "O", "O", "Sr", "Si", "Mg"],
  "fractional_positions": [[0.3668, 0.8995, 0.3668], [0.3668, 0.3668, 0.8995], [0.3668, 0.3668, 0.3668], [0.8995, 0.3668, 0.3668], [0.7500, 0.7500, 0.7500], [0.2500, 0.2500, 0.2500], [0.5000, 0.5000, 0.5000]],
  "dos_ef_per_ev_atom": 0.000,
  "total_magnetization_mub_per_cell": 0.00,
  "e_form_raw_kj_per_mol_atoms": -251
}